A relaxed structure of Pu2AgTe. Source: Alexandria via LeMat-Bulk, functional PBE.

Lattice parameters (Å, degrees): 5.274 5.274 5.274 60.00 60.00 60.00
Fractional coordinates of all 4 atoms:
Pu  0.250  0.250  0.250
Pu  0.750  0.750  0.750
Ag  0.000  0.000  0.000
Te  0.500  0.500  0.500

- Space group: No. 225
- Uncorrected formation energy: -0.40 eV per atom
- Volume: 103.7 Å³ per cell
- Total DFT energy (no corrections): -36.24 eV/cell